# 1
GaBi2Cl2: relaxed, GGA-PBE.

Properties
ΔE_f (raw), eV per atom: -0.012
E above lowest polymorph, eV/atom: 0.302
Space group: No. 139

Unit cell a=7.176 b=7.176 c=7.176 alpha=137.87 beta=137.87 gamma=61.10
Fractional coordinates of all 5 atoms:
Ga 0.000 0.000 0.000
Bi 0.383 0.383 0.000
Bi 0.617 0.617 0.000
Cl 0.250 0.750 0.500
Cl 0.750 0.250 0.500


# 2
V2CoPt: relaxed, GGA-PBE.

Properties
Space group: No. 123
E, eV per atom: -8.05

Unit cell a=3.185 b=3.185 c=5.269 alpha=90.00 beta=90.00 gamma=90.00
Fractional coordinates of all 4 atoms:
V 0.000 0.000 0.225
V 0.000 0.000 0.775
Co 0.500 0.500 0.000
Pt 0.500 0.500 0.500


# 3
LiTbIn2I6: relaxed, GGA-PBE.

Properties
ΔE_f (raw), eV per atom: -0.960
Space group: No. 146

Unit cell a=8.456 b=8.456 c=8.456 alpha=58.83 beta=58.83 gamma=58.83
Fractional coordinates of all 10 atoms:
Li 0.000 0.000 0.000
Tb 0.493 0.493 0.493
In 0.285 0.285 0.285
In 0.791 0.791 0.791
I 0.150 0.728 0.335
I 0.236 0.653 0.829
I 0.335 0.150 0.728
I 0.653 0.829 0.236
I 0.728 0.335 0.150
I 0.829 0.236 0.653


# 4
Ce3HfS7: relaxed, GGA-PBE.

Properties
ΔE_f (raw), eV per atom: -1.810
Space group: No. 20

Unit cell a=7.924 b=7.924 c=9.287 alpha=90.00 beta=90.00 gamma=110.00
Fractional coordinates of all 22 atoms:
Ce 0.001 0.001 0.000
Ce 0.048 0.498 0.250
Ce 0.498 0.048 0.750
Ce 0.502 0.952 0.250
Ce 0.952 0.502 0.750
Ce 0.999 0.999 0.500
Hf 0.500 0.500 0.000
Hf 0.500 0.500 0.500
S 0.128 0.872 0.750
S 0.136 0.864 0.250
S 0.163 0.415 0.533
S 0.163 0.415 0.967
S 0.415 0.163 0.033
S 0.415 0.163 0.467
S 0.429 0.571 0.250
S 0.571 0.429 0.750
S 0.585 0.837 0.533
S 0.585 0.837 0.967
S 0.837 0.585 0.033
S 0.837 0.585 0.467
S 0.864 0.136 0.750
S 0.872 0.128 0.250


# 5
ScMn2Pt2: relaxed, GGA-PBE.

Properties
E above lowest polymorph, eV/atom: 0.006
Space group: No. 127

Unit cell a=7.381 b=7.381 c=2.723 alpha=90.00 beta=90.00 gamma=90.00
Fractional coordinates of all 10 atoms:
Sc 0.000 0.000 0.000
Sc 0.500 0.500 0.000
Mn 0.102 0.398 0.000
Mn 0.398 0.898 0.000
Mn 0.602 0.102 0.000
Mn 0.898 0.602 0.000
Pt 0.191 0.691 0.500
Pt 0.309 0.191 0.500
Pt 0.691 0.809 0.500
Pt 0.809 0.309 0.500


# 6
Ac2LaPm2Sm: relaxed, GGA-PBE.

Properties
Space group: No. 26
E, eV per atom: -4.49

Unit cell a=5.981 b=10.311 c=7.417 alpha=90.00 beta=90.00 gamma=90.00
Fractional coordinates of all 12 atoms:
Ac 0.000 0.000 0.000
Ac 0.000 0.000 0.500
Ac 0.500 0.170 0.250
Ac 0.500 0.830 0.750
La 0.500 0.500 0.000
La 0.500 0.500 0.500
Pm 0.000 0.342 0.250
Pm 0.000 0.658 0.750
Pm 0.500 0.175 0.750
Pm 0.500 0.825 0.250
Sm 0.000 0.335 0.749
Sm 0.000 0.665 0.249


| no. | Fermi-level density of states (states/eV per cell) |
| --- | --- |
| 1 | 8.3 |
| 2 | 6.9 |
| 3 | 0.0 |
| 4 | 32.3 |
| 5 | 12.6 |
| 6 | 18.0 |